Record 1
# MnHg2Te | Alexandria via LeMat-Bulk | GGA-PBEsol | optimized geometry
# Formation energy from raw total energies = 0.20 eV/atom
# Magnetization = 3.1 μB per cell
# Uncorrected energy = -3.401 eV per atom
data_MnHg2Te
_chemical_formula_sum 'Mn1 Hg2 Te1'
_space_group_name_H-M_alt 'P 4 m m'
_space_group_IT_number 99
_space_group_name_Hall 'P 4 -2'
_cell_length_a 3.284
_cell_length_b 3.284
_cell_length_c 7.977
_cell_angle_alpha 90.00
_cell_angle_beta 90.00
_cell_angle_gamma 90.00
loop_
_atom_site_label
_atom_site_fract_x
_atom_site_fract_y
_atom_site_fract_z
_atom_site_occupancy
Mn1 0.000 0.000 0.000 1
Hg1 0.000 0.000 0.499 1
Hg2 0.500 0.500 0.769 1
Te1 0.500 0.500 0.174 1



Record 2
# Re2H2Os | Alexandria via LeMat-Bulk | GGA-PBEsol | optimized geometry
# Magnetization = 0.0 μB per cell
# Uncorrected energy = -8.843 eV per atom
data_Re2H2Os
_chemical_formula_sum 'Re4 H4 Os2'
_space_group_name_H-M_alt 'I 4/m m m'
_space_group_IT_number 139
_space_group_name_Hall '-I 4 2'
_cell_length_a 2.843
_cell_length_b 2.843
_cell_length_c 12.031
_cell_angle_alpha 90.00
_cell_angle_beta 90.00
_cell_angle_gamma 90.00
loop_
_atom_site_label
_atom_site_fract_x
_atom_site_fract_y
_atom_site_fract_z
_atom_site_occupancy
Re1 0.000 0.000 0.150 1
H1 0.000 0.500 0.250 1
Os1 0.000 0.000 0.500 1



Record 3
# Ac2CdSn | Alexandria via LeMat-Bulk | GGA-PBEsol | optimized geometry
# Magnetization = 0.0 μB per cell
# Uncorrected energy = -4.101 eV per atom
data_Ac2CdSn
_chemical_formula_sum 'Ac8 Cd4 Sn4'
_space_group_name_H-M_alt 'F m -3 m'
_space_group_IT_number 225
_space_group_name_Hall '-F 4 2 3'
_cell_length_a 8.014
_cell_length_b 8.014
_cell_length_c 8.014
_cell_angle_alpha 90.00
_cell_angle_beta 90.00
_cell_angle_gamma 90.00
loop_
_atom_site_label
_atom_site_fract_x
_atom_site_fract_y
_atom_site_fract_z
_atom_site_occupancy
Ac1 0.250 0.250 0.250 1
Cd1 0.000 0.000 0.000 1
Sn1 0.000 0.000 0.500 1



Record 4
# CdMoW2 | Alexandria via LeMat-Bulk | GGA-PBEsol | optimized geometry
# Magnetization = 0.0 μB per cell
# Uncorrected energy = -9.633 eV per atom
data_CdMoW2
_chemical_formula_sum 'Cd3 Mo3 W6'
_space_group_name_H-M_alt 'R 3 m'
_space_group_IT_number 160
_space_group_name_Hall 'R 3 -2"'
_cell_length_a 2.7913
_cell_length_b 2.7913
_cell_length_c 29.3837
_cell_angle_alpha 90.00
_cell_angle_beta 90.00
_cell_angle_gamma 120.00
loop_
_atom_site_label
_atom_site_fract_x
_atom_site_fract_y
_atom_site_fract_z
_atom_site_occupancy
Cd1 0.0000 0.0000 0.0000 1
Mo1 0.0000 0.0000 0.7528 1
W1 0.0000 0.0000 0.2466 1
W2 0.0000 0.0000 0.4993 1



Record 5
# MnGaPt | Alexandria via LeMat-Bulk | GGA-PBEsol | optimized geometry
# Magnetization = 6.8 μB per cell
# Uncorrected energy = -7.084 eV per atom
data_MnGaPt
_chemical_formula_sum 'Mn2 Ga2 Pt2'
_space_group_name_H-M_alt 'P 63/m m c'
_space_group_IT_number 194
_space_group_name_Hall '-P 6c 2c'
_cell_length_a 4.3009
_cell_length_b 4.3009
_cell_length_c 5.3085
_cell_angle_alpha 90.00
_cell_angle_beta 90.00
_cell_angle_gamma 120.00
loop_
_atom_site_label
_atom_site_fract_x
_atom_site_fract_y
_atom_site_fract_z
_atom_site_occupancy
Mn1 0.0000 0.0000 0.0000 1
Ga1 0.3333 0.6667 0.2500 1
Pt1 0.3333 0.6667 0.7500 1



Record 6
# BaSrCu2 | Alexandria via LeMat-Bulk | GGA-PBEsol | optimized geometry
# Magnetization = 0.0 μB per cell
# Uncorrected energy = -3.149 eV per atom
data_BaSrCu2
_chemical_formula_sum 'Ba2 Sr2 Cu4'
_space_group_name_H-M_alt 'A m m 2'
_space_group_IT_number 38
_space_group_name_Hall 'A 2 -2'
_cell_length_a 4.385
_cell_length_b 4.400
_cell_length_c 12.048
_cell_angle_alpha 90.00
_cell_angle_beta 90.00
_cell_angle_gamma 90.00
loop_
_atom_site_label
_atom_site_fract_x
_atom_site_fract_y
_atom_site_fract_z
_atom_site_occupancy
Ba1 0.000 0.000 0.000 1
Sr1 0.500 0.000 0.275 1
Cu1 0.000 0.000 0.696 1
Cu2 0.500 0.000 0.597 1



Record 7
# CuSiNi2 | Alexandria via LeMat-Bulk | GGA-PBEsol | optimized geometry
# Formation energy from raw total energies = -0.23 eV/atom
# Magnetization = 0.0 μB per cell
# Uncorrected energy = -5.825 eV per atom
data_CuSiNi2
_chemical_formula_sum 'Cu3 Si3 Ni6'
_space_group_name_H-M_alt 'R -3 m'
_space_group_IT_number 166
_space_group_name_Hall '-R 3 2"'
_cell_length_a 2.5853
_cell_length_b 2.5853
_cell_length_c 22.8020
_cell_angle_alpha 90.00
_cell_angle_beta 90.00
_cell_angle_gamma 120.00
loop_
_atom_site_label
_atom_site_fract_x
_atom_site_fract_y
_atom_site_fract_z
_atom_site_occupancy
Cu1 0.0000 0.0000 0.0000 1
Si1 0.0000 0.0000 0.5000 1
Ni1 0.0000 0.0000 0.2447 1



Record 8
# CrNi3O | Alexandria via LeMat-Bulk | GGA-PBEsol | optimized geometry
# Formation energy from raw total energies = 1.72 eV/atom
# Magnetization = 1.0 μB per cell
# Uncorrected energy = -5.074 eV per atom
data_CrNi3O
_chemical_formula_sum 'Cr1 Ni3 O1'
_space_group_name_H-M_alt 'P m -3 m'
_space_group_IT_number 221
_space_group_name_Hall '-P 4 2 3'
_cell_length_a 4.125
_cell_length_b 4.125
_cell_length_c 4.125
_cell_angle_alpha 90.00
_cell_angle_beta 90.00
_cell_angle_gamma 90.00
loop_
_atom_site_label
_atom_site_fract_x
_atom_site_fract_y
_atom_site_fract_z
_atom_site_occupancy
Cr1 0.000 0.000 0.000 1
Ni1 0.000 0.000 0.500 1
O1 0.500 0.500 0.500 1



Record 9
# HgI | Alexandria via LeMat-Bulk | GGA-PBEsol | optimized geometry
# Formation energy from raw total energies = -0.22 eV/atom
# Magnetization = 0.0 μB per cell
# Uncorrected energy = -1.389 eV per atom
data_HgI
_chemical_formula_sum 'Hg4 I4'
_space_group_name_H-M_alt 'I 4/m m m'
_space_group_IT_number 139
_space_group_name_Hall '-I 4 2'
_cell_length_a 4.805
_cell_length_b 4.805
_cell_length_c 11.685
_cell_angle_alpha 90.00
_cell_angle_beta 90.00
_cell_angle_gamma 90.00
loop_
_atom_site_label
_atom_site_fract_x
_atom_site_fract_y
_atom_site_fract_z
_atom_site_occupancy
Hg1 0.000 0.000 0.113 1
I1 0.000 0.000 0.350 1



Record 10
# LaBiCl3 | Alexandria via LeMat-Bulk | GGA-PBEsol | optimized geometry
# Formation energy from raw total energies = -1.26 eV/atom
# Magnetization = 3.0 μB per cell
# Uncorrected energy = -4.387 eV per atom
data_LaBiCl3
_chemical_formula_sum 'La1 Bi1 Cl3'
_space_group_name_H-M_alt 'P m -3 m'
_space_group_IT_number 221
_space_group_name_Hall '-P 4 2 3'
_cell_length_a 5.558
_cell_length_b 5.558
_cell_length_c 5.558
_cell_angle_alpha 90.00
_cell_angle_beta 90.00
_cell_angle_gamma 90.00
loop_
_atom_site_label
_atom_site_fract_x
_atom_site_fract_y
_atom_site_fract_z
_atom_site_occupancy
La1 0.000 0.000 0.000 1
Bi1 0.500 0.500 0.500 1
Cl1 0.000 0.000 0.500 1



Record 11
# BaAlMo2 | Alexandria via LeMat-Bulk | GGA-PBEsol | optimized geometry
# Magnetization = 0.0 μB per cell
# Uncorrected energy = -7.124 eV per atom
data_BaAlMo2
_chemical_formula_sum 'Ba1 Al1 Mo2'
_space_group_name_H-M_alt 'P 4 m m'
_space_group_IT_number 99
_space_group_name_Hall 'P 4 -2'
_cell_length_a 3.237
_cell_length_b 3.237
_cell_length_c 8.023
_cell_angle_alpha 90.00
_cell_angle_beta 90.00
_cell_angle_gamma 90.00
loop_
_atom_site_label
_atom_site_fract_x
_atom_site_fract_y
_atom_site_fract_z
_atom_site_occupancy
Ba1 0.000 0.000 0.000 1
Al1 0.500 0.500 0.336 1
Mo1 0.000 0.000 0.522 1
Mo2 0.500 0.500 0.680 1



Record 12
# MnNbF3 | Alexandria via LeMat-Bulk | GGA-PBEsol | optimized geometry
# Formation energy from raw total energies = -1.16 eV/atom
# Magnetization = 7.7 μB per cell
# Uncorrected energy = -6.436 eV per atom
data_MnNbF3
_chemical_formula_sum 'Mn1 Nb1 F3'
_space_group_name_H-M_alt 'P m -3 m'
_space_group_IT_number 221
_space_group_name_Hall '-P 4 2 3'
_cell_length_a 4.278
_cell_length_b 4.278
_cell_length_c 4.278
_cell_angle_alpha 90.00
_cell_angle_beta 90.00
_cell_angle_gamma 90.00
loop_
_atom_site_label
_atom_site_fract_x
_atom_site_fract_y
_atom_site_fract_z
_atom_site_occupancy
Mn1 0.000 0.000 0.000 1
Nb1 0.500 0.500 0.500 1
F1 0.000 0.500 0.500 1